[1]
# NaPPbS4 | Alexandria via LeMat-Bulk | GGA-PBE | relaxed
data_NaPPbS4
_chemical_formula_sum 'Na2 P2 Pb2 S8'
_cell_length_a 6.782
_cell_length_b 6.576
_cell_length_c 8.126
_cell_angle_alpha 90.00
_cell_angle_beta 109.25
_cell_angle_gamma 90.00
_symmetry_space_group_name_H-M 'P 1'
_symmetry_Int_Tables_number 1
loop_
_symmetry_equiv_pos_as_xyz
'x,y,z'
loop_
_atom_site_label
_atom_site_type_symbol
_atom_site_fract_x
_atom_site_fract_y
_atom_site_fract_z
Na1 Na 0.241 0.250 0.055
Na2 Na 0.759 0.750 0.945
P1 P 0.226 0.750 0.802
P2 P 0.774 0.250 0.198
Pb1 Pb 0.239 0.250 0.568
Pb2 Pb 0.761 0.750 0.432
S1 S 0.017 0.506 0.739
S2 S 0.017 0.994 0.739
S3 S 0.381 0.750 0.059
S4 S 0.400 0.750 0.639
S5 S 0.600 0.250 0.361
S6 S 0.619 0.250 0.941
S7 S 0.983 0.006 0.261
S8 S 0.983 0.494 0.261
# Total magnetization = 0.000 Bohr magnetons per cell
# Symmetry = P2_1/m, No. 11
# Raw formation energy = -55.8 kJ per mole of atoms

[2]
# Na2ScPPb | Alexandria via LeMat-Bulk | GGA-PBE | relaxed
data_Na2ScPPb
_chemical_formula_sum 'Na2 Sc1 P1 Pb1'
_cell_length_a 5.675
_cell_length_b 5.675
_cell_length_c 5.515
_cell_angle_alpha 90.00
_cell_angle_beta 90.00
_cell_angle_gamma 90.00
_symmetry_space_group_name_H-M 'P 1'
_symmetry_Int_Tables_number 1
loop_
_symmetry_equiv_pos_as_xyz
'x,y,z'
loop_
_atom_site_label
_atom_site_type_symbol
_atom_site_fract_x
_atom_site_fract_y
_atom_site_fract_z
Na1 Na 0.000 0.500 0.000
Na2 Na 0.500 0.000 0.000
Sc1 Sc 0.000 0.000 0.000
P1 P 0.500 0.500 0.500
Pb1 Pb 0.000 0.000 0.500
# Total magnetization = 0.871 Bohr magnetons per cell
# Energy relative to the elements = 1026 meV/atom
# Symmetry = P4/mmm, No. 123

[3]
# NaPPbSe4 | Alexandria via LeMat-Bulk | GGA-PBE | relaxed
data_NaPPbSe4
_chemical_formula_sum 'Na2 P2 Pb2 Se8'
_cell_length_a 7.180
_cell_length_b 6.928
_cell_length_c 8.226
_cell_angle_alpha 90.00
_cell_angle_beta 108.33
_cell_angle_gamma 90.00
_symmetry_space_group_name_H-M 'P 1'
_symmetry_Int_Tables_number 1
loop_
_symmetry_equiv_pos_as_xyz
'x,y,z'
loop_
_atom_site_label
_atom_site_type_symbol
_atom_site_fract_x
_atom_site_fract_y
_atom_site_fract_z
Na1 Na 0.240 0.250 0.436
Na2 Na 0.760 0.750 0.564
P1 P 0.273 0.750 0.695
P2 P 0.727 0.250 0.305
Pb1 Pb 0.275 0.250 0.936
Pb2 Pb 0.725 0.750 0.064
Se1 Se 0.107 0.750 0.881
Se2 Se 0.109 0.750 0.421
Se3 Se 0.490 0.502 0.755
Se4 Se 0.490 0.998 0.755
Se5 Se 0.510 0.002 0.245
Se6 Se 0.510 0.498 0.245
Se7 Se 0.891 0.250 0.579
Se8 Se 0.893 0.250 0.119
# Total magnetization = 0.000 Bohr magnetons per cell
# Symmetry = P2_1/m, No. 11
# Raw formation energy = -43.2 kJ per mole of atoms

[4]
# NaP4Pd6 | Alexandria via LeMat-Bulk | GGA-PBE | relaxed
data_NaP4Pd6
_chemical_formula_sum 'Na1 P4 Pd6'
_cell_length_a 7.252
_cell_length_b 7.252
_cell_length_c 3.713
_cell_angle_alpha 90.00
_cell_angle_beta 90.00
_cell_angle_gamma 120.00
_symmetry_space_group_name_H-M 'P 1'
_symmetry_Int_Tables_number 1
loop_
_symmetry_equiv_pos_as_xyz
'x,y,z'
loop_
_atom_site_label
_atom_site_type_symbol
_atom_site_fract_x
_atom_site_fract_y
_atom_site_fract_z
Na1 Na 0.000 0.000 0.000
P1 P 0.333 0.667 0.000
P2 P 0.364 0.182 0.500
P3 P 0.818 0.182 0.500
P4 P 0.818 0.636 0.500
Pd1 Pd 0.196 0.391 0.500
Pd2 Pd 0.196 0.804 0.500
Pd3 Pd 0.536 0.072 0.000
Pd4 Pd 0.536 0.464 0.000
Pd5 Pd 0.609 0.804 0.500
Pd6 Pd 0.928 0.464 0.000
# Offset from the most stable computed form = 0 meV/atom
# Total magnetization = 0.000 Bohr magnetons per cell
# Energy relative to the elements = -431 meV/atom
# Symmetry = P-6m2, No. 187

Please write out number 2 again, unchanged.
# Na2ScPPb | Alexandria via LeMat-Bulk | GGA-PBE | relaxed
data_Na2ScPPb
_chemical_formula_sum 'Na2 Sc1 P1 Pb1'
_cell_length_a 5.675
_cell_length_b 5.675
_cell_length_c 5.515
_cell_angle_alpha 90.00
_cell_angle_beta 90.00
_cell_angle_gamma 90.00
_symmetry_space_group_name_H-M 'P 1'
_symmetry_Int_Tables_number 1
loop_
_symmetry_equiv_pos_as_xyz
'x,y,z'
loop_
_atom_site_label
_atom_site_type_symbol
_atom_site_fract_x
_atom_site_fract_y
_atom_site_fract_z
Na1 Na 0.000 0.500 0.000
Na2 Na 0.500 0.000 0.000
Sc1 Sc 0.000 0.000 0.000
P1 P 0.500 0.500 0.500
Pb1 Pb 0.000 0.000 0.500
# Total magnetization = 0.871 Bohr magnetons per cell
# Energy relative to the elements = 1026 meV/atom
# Symmetry = P4/mmm, No. 123

Number 3 is which compound?
NaPPbSe4

Which of these has the highest total magnetization?
Na2ScPPb